## Si2AsAu2 (PBE)

Data for an optimized crystal structure of Si2AsAu2.

Output
The calculation puts the density of states at the Fermi level at 0.323 states/eV/atom. Its energy is -20.465 eV/f.u. For the uncorrected formation energy, the calculation gives 7.3 kcal/mol of atoms.

Unit cell a=7.8686 b=7.8686 c=2.9100 alpha=90.00 beta=90.00 gamma=90.00
Closest atoms and distances in Å follow each position.
Atoms (fractional coordinates):
Si (0.1209, 0.3791, 0.0000)  6 Au 2.66-2.81, 3 Si 2.69-2.91
Si (0.3791, 0.8791, 0.0000)  6 Au 2.66-2.81, 3 Si 2.69-2.91
Si (0.6209, 0.1209, 0.0000)  6 Au 2.66-2.81, 3 Si 2.69-2.91
Si (0.8791, 0.6209, 0.0000)  6 Au 2.66-2.81, 3 Si 2.69-2.91
As (0.0000, 0.0000, 0.5000)  4 Au 2.89, 2 As 2.91
As (0.5000, 0.5000, 0.5000)  4 Au 2.89, 2 As 2.91
Au (0.1786, 0.6786, 0.5000)  6 Si 2.66-2.81, 2 As 2.89, 2 Au 2.91
Au (0.3214, 0.1786, 0.5000)  6 Si 2.66-2.81, 2 As 2.89, 2 Au 2.91
Au (0.6786, 0.8214, 0.5000)  6 Si 2.66-2.81, 2 As 2.89, 2 Au 2.91
Au (0.8214, 0.3214, 0.5000)  6 Si 2.66-2.81, 2 As 2.89, 2 Au 2.91